Entry 1:
Lu2PaIn | GGA-PBE | optimized geometry

It has space group P4/mmm (No. 123), with a = 3.388 Å, b = 3.388 Å, c = 9.133 Å, α = 90.00°, β = 90.00° and γ = 90.00°. The distinct sites, in fractional coordinates, are Lu at (0.000, 0.000, 0.241), Pa at (0.500, 0.500, 0.500) and In at (0.500, 0.500, 0.000).

The calculation puts the total magnetization at 0.34 μB/f.u. As for the volume: 105 Å³ per cell. The theoretical density is 11.0 g/cm³. As for the formation energy: -0.136 eV per atom. Its energy above the most stable polymorph in this dataset is 0.0 meV per atom.


Entry 2:
LuPaIn2 | GGA-PBE | optimized geometry

It has space group P4/mmm (No. 123), with a = 3.261 Å, b = 3.261 Å, c = 9.365 Å, α = 90.00°, β = 90.00° and γ = 90.00°. The distinct sites, in fractional coordinates, are Lu at (0.000, 0.000, 0.000), Pa at (0.000, 0.000, 0.500) and In at (0.500, 0.500, 0.243).

The calculation puts the total magnetization at 0.24 μB/f.u. As for the volume: 100 Å³ per cell. The theoretical density is 10.6 g/cm³. As for the formation energy: -0.185 eV per atom. Its energy above the most stable polymorph in this dataset is 0.0 meV per atom.


Entry 3:
Lu2PaIn | GGA-PBE | optimized geometry

It has space group R-3m (No. 166, hexagonal axes), with a = 3.3736 Å, b = 3.3736 Å, c = 32.2110 Å, α = 90.00°, β = 90.00° and γ = 120.00°. The distinct sites, in fractional coordinates, are Lu at (0.0000, 0.0000, 0.2492), Pa at (0.0000, 0.0000, 0.0000) and In at (0.0000, 0.0000, 0.5000).

The calculation puts the total magnetization at 0.00 μB/f.u. As for the volume: 317 Å³ per cell. The theoretical density is 10.9 g/cm³. As for the formation energy: -0.102 eV per atom. Its energy above the most stable polymorph in this dataset is 34.6 meV per atom.


Entry 4:
LuPaIn2 | GGA-PBE | optimized geometry

It has space group Fm-3m (No. 225), with a = 7.472 Å, b = 7.472 Å, c = 7.472 Å, α = 90.00°, β = 90.00° and γ = 90.00°. The distinct sites, in fractional coordinates, are Lu at (0.000, 0.000, 0.000), Pa at (0.000, 0.000, 0.500) and In at (0.250, 0.250, 0.250).

The calculation puts the total magnetization at 1.14 μB/f.u. As for the volume: 417 Å³ per cell. The theoretical density is 10.1 g/cm³. As for the formation energy: -0.061 eV per atom. Its energy above the most stable polymorph in this dataset is 123.5 meV per atom.


Entry 5:
Lu2PaIn | GGA-PBE | optimized geometry

It has space group P4/mmm (No. 123), with a = 4.789 Å, b = 4.789 Å, c = 4.538 Å, α = 90.00°, β = 90.00° and γ = 90.00°. The distinct sites, in fractional coordinates, are Lu at (0.000, 0.500, 0.000), Pa at (0.000, 0.000, 0.500) and In at (0.500, 0.500, 0.500).

The calculation puts the total magnetization at 0.00 μB/f.u. As for the volume: 104 Å³ per cell. The theoretical density is 11.1 g/cm³. As for the formation energy: -0.031 eV per atom. Its energy above the most stable polymorph in this dataset is 105.1 meV per atom.


Entry 6:
LuPaIn2 | GGA-PBE | optimized geometry

It has space group P4/mmm (No. 123), with a = 4.737 Å, b = 4.737 Å, c = 4.553 Å, α = 90.00°, β = 90.00° and γ = 90.00°. The distinct sites, in fractional coordinates, are Lu at (0.000, 0.000, 0.000), Pa at (0.500, 0.500, 0.000) and In at (0.000, 0.500, 0.500).

The calculation puts the total magnetization at 0.01 μB/f.u. As for the volume: 102 Å³ per cell. The theoretical density is 10.3 g/cm³. As for the formation energy: -0.115 eV per atom. Its energy above the most stable polymorph in this dataset is 70.4 meV per atom.


Entry 7:
LuPaInPb | GGA-PBE | optimized geometry

It has space group F-43m (No. 216), with a = 7.549 Å, b = 7.549 Å, c = 7.549 Å, α = 90.00°, β = 90.00° and γ = 90.00°. The distinct sites, in fractional coordinates, are Lu at (0.000, 0.000, 0.000), Pa at (0.000, 0.000, 0.500), In at (0.250, 0.250, 0.250) and Pb at (0.250, 0.250, 0.750).

The calculation puts the total magnetization at 1.79 μB/f.u. As for the volume: 430 Å³ per cell. The theoretical density is 11.2 g/cm³. As for the formation energy: -0.024 eV per atom.


Entry 8:
LuPaInTc | GGA-PBE | optimized geometry

It has space group F-43m (No. 216), with a = 7.126 Å, b = 7.126 Å, c = 7.126 Å, α = 90.00°, β = 90.00° and γ = 90.00°. The distinct sites, in fractional coordinates, are Lu at (0.000, 0.000, 0.000), Pa at (0.000, 0.000, 0.500), In at (0.250, 0.250, 0.750) and Tc at (0.250, 0.250, 0.250).

The calculation puts the total magnetization at 0.00 μB/f.u. As for the volume: 362 Å³ per cell. The theoretical density is 11.4 g/cm³. As for the formation energy: -0.015 eV per atom.


Entry 9:
LuThPaIn | GGA-PBE | optimized geometry

It has space group F-43m (No. 216), with a = 7.587 Å, b = 7.587 Å, c = 7.587 Å, α = 90.00°, β = 90.00° and γ = 90.00°. The distinct sites, in fractional coordinates, are Lu at (0.000, 0.000, 0.000), Th at (0.250, 0.250, 0.750), Pa at (0.000, 0.000, 0.500) and In at (0.250, 0.250, 0.250).

The calculation puts the total magnetization at 0.00 μB/f.u. As for the volume: 437 Å³ per cell. The theoretical density is 11.5 g/cm³. As for the formation energy: 0.135 eV per atom.


Entry 10:
LuIn2Pb | GGA-PBE | optimized geometry

It has space group P4/mmm (No. 123), with a = 4.589 Å, b = 4.589 Å, c = 4.916 Å, α = 90.00°, β = 90.00° and γ = 90.00°. The distinct sites, in fractional coordinates, are Lu at (0.000, 0.000, 0.000), In at (0.000, 0.500, 0.500) and Pb at (0.500, 0.500, 0.000).

The calculation puts the total magnetization at 0.00 μB/f.u. As for the volume: 104 Å³ per cell. The theoretical density is 9.8 g/cm³. As for the formation energy: -0.259 eV per atom.


Entry 11:
LuIn2Pb | GGA-PBE | optimized geometry

It has space group P4/mmm (No. 123), with a = 3.891 Å, b = 3.891 Å, c = 7.126 Å, α = 90.00°, β = 90.00° and γ = 90.00°. The distinct sites, in fractional coordinates, are Lu at (0.000, 0.000, 0.000), In at (0.500, 0.500, 0.248) and Pb at (0.000, 0.000, 0.500).

The calculation puts the total magnetization at 0.00 μB/f.u. As for the volume: 108 Å³ per cell. The theoretical density is 9.4 g/cm³. As for the formation energy: -0.137 eV per atom.


Entry 12:
Lu2InPb | GGA-PBE | optimized geometry

It has space group P4/mmm (No. 123), with a = 3.843 Å, b = 3.843 Å, c = 7.172 Å, α = 90.00°, β = 90.00° and γ = 90.00°. The distinct sites, in fractional coordinates, are Lu at (0.000, 0.000, 0.246), In at (0.500, 0.500, 0.000) and Pb at (0.500, 0.500, 0.500).

The calculation puts the total magnetization at 0.00 μB/f.u. As for the volume: 106 Å³ per cell. The theoretical density is 10.5 g/cm³. As for the formation energy: -0.327 eV per atom.